No. 1
Density functional theory data (PBE) for crystalline Sm4GeSe3 at its relaxed geometry.

a b c (Å): 5.926 5.926 5.926
angles (deg): 90.00 90.00 90.00
Atoms (fractional coordinates):
1 Sm 0.500 0.000 0.000
2 Sm 0.000 0.500 0.000
3 Sm 0.000 0.000 0.500
4 Sm 0.500 0.500 0.500
5 Ge 0.000 0.000 0.000
6 Se 0.000 0.500 0.500
7 Se 0.500 0.000 0.500
8 Se 0.500 0.500 0.000

As for the uncorrected formation energy: -1663.2 meV per atom. The calculation puts the total magnetization at 0.000 μB/atom. Its space group is No. 221. The value obtained for the volume is 208.1 Å³ per cell.

No. 2
Density functional theory data (PBE) for crystalline La2PmIr2 at its relaxed geometry.

a b c (Å): 4.844 7.453 7.899
angles (deg): 90.00 107.85 90.00
Atoms (fractional coordinates):
1 La 0.255 0.672 0.509
2 La 0.745 0.172 0.491
3 La 0.427 0.330 0.853
4 La 0.573 0.830 0.147
5 Pm 0.076 0.364 0.152
6 Pm 0.924 0.864 0.848
7 Ir 0.144 0.999 0.287
8 Ir 0.856 0.499 0.713
9 Ir 0.339 0.001 0.679
10 Ir 0.661 0.501 0.321

The calculation puts the total magnetization at 0.000 μB/atom. Its space group is No. 36. The formation enthalpy at 0 K comes out at -0.59 eV per atom. For the energy above the most stable polymorph in this dataset, the calculation gives 0.059 eV/atom. The value obtained for the volume is 271.4 Å³ per cell.

No. 3
Density functional theory data (PBE) for crystalline Np2PtRh5 at its relaxed geometry.

a b c (Å): 4.080 5.695 11.393
angles (deg): 90.00 90.00 90.00
Each line ends with the local moment (μB).
Atoms (fractional coordinates):
1 Np 0.500 0.264 0.371  2.73
2 Np 0.500 0.736 0.629  2.73
3 Np 0.500 0.236 0.871  2.73
4 Np 0.500 0.764 0.129  2.73
5 Pt 0.000 0.000 0.500  -0.18
6 Pt 0.000 0.500 0.000  -0.18
7 Rh 0.500 0.259 0.123  -0.46
8 Rh 0.500 0.741 0.877  -0.46
9 Rh 0.500 0.759 0.377  -0.46
10 Rh 0.500 0.241 0.623  -0.46
11 Rh 0.000 0.989 0.749  -0.44
12 Rh 0.000 0.011 0.251  -0.44
13 Rh 0.000 0.489 0.751  -0.44
14 Rh 0.000 0.511 0.249  -0.44
15 Rh 0.000 0.500 0.500  -0.44
16 Rh 0.000 0.000 0.000  -0.44

The calculation puts the total magnetization at 0.390 μB/atom. Its space group is No. 55. The formation enthalpy at 0 K comes out at -0.46 eV per atom. The value obtained for the volume is 264.7 Å³ per cell.

No. 4
Density functional theory data (PBE) for crystalline NaLi2Ni at its relaxed geometry.

a b c (Å): 4.554 4.554 4.554
angles (deg): 60.00 60.00 60.00
Atoms (fractional coordinates):
1 Ni 0.500 0.500 0.500
2 Li 0.250 0.250 0.250
3 Li 0.750 0.750 0.750
4 Na 0.000 0.000 0.000

The calculation puts the total magnetization at 0.000 μB/atom. Its space group is No. 225. The formation enthalpy at 0 K comes out at 0.24 eV per atom. For the energy above the most stable polymorph in this dataset, the calculation gives 0.033 eV/atom. The value obtained for the volume is 66.8 Å³ per cell.

No. 5
Density functional theory data (PBE) for crystalline LiZrAsBr2 at its relaxed geometry.

a b c (Å): 4.514 4.514 5.472
angles (deg): 90.00 90.00 90.00
Atoms (fractional coordinates):
1 As 0.000 0.000 0.500
2 Br 0.000 0.500 0.000
3 Br 0.500 0.000 0.000
4 Zr 0.500 0.500 0.500
5 Li 0.000 0.000 0.000

As for the uncorrected formation energy: -140.6 meV per atom. The calculation puts the total magnetization at 0.000 μB/atom. Its space group is No. 123. For the energy above the most stable polymorph in this dataset, the calculation gives 0.513 eV/atom. The value obtained for the volume is 111.5 Å³ per cell.

No. 6
Density functional theory data (PBE) for crystalline Cs3U2CuSe9 at its relaxed geometry.

a b c (Å): 7.601 7.601 9.261
angles (deg): 90.00 90.00 120.00
Each line ends with the local moment (μB).
Atoms (fractional coordinates):
1 Cs 0.333 0.667 0.663  0.00
2 Cs 0.000 0.000 0.000  0.00
3 Cs 0.667 0.333 0.337  0.00
4 U 0.333 0.667 0.182  0.03
5 U 0.667 0.333 0.818  0.03
6 Cu 0.000 0.000 0.500  0.08
7 Se 0.836 0.164 0.667  0.01
8 Se 0.836 0.672 0.667  0.01
9 Se 0.328 0.164 0.667  0.01
10 Se 0.672 0.836 0.333  0.01
11 Se 0.164 0.328 0.333  0.01
12 Se 0.164 0.836 0.333  0.01
13 Se 0.500 0.000 0.000  0.00
14 Se 0.000 0.500 0.000  0.00
15 Se 0.500 0.500 0.000  0.00

As for the uncorrected formation energy: -884.6 meV per atom. The calculation puts the total magnetization at 0.015 μB/atom. Its space group is No. 164. The value obtained for the volume is 463.4 Å³ per cell.

No. 7
Density functional theory data (PBE) for crystalline Rb2TiPt at its relaxed geometry.

a b c (Å): 12.828 12.828 9.395
angles (deg): 46.95 46.95 90.00
Each line ends with the local moment (μB).
Atoms (fractional coordinates):
1 Rb 0.791 0.125 0.250  0.01
2 Rb 0.959 0.625 0.250  0.01
3 Rb 0.375 0.209 0.750  0.02
4 Rb 0.875 0.041 0.750  0.02
5 Pt 0.000 0.000 0.000  -0.05
6 Pt 0.750 0.250 0.500  -0.06
7 Ti 0.500 0.500 0.000  1.52
8 Ti 0.250 0.750 0.500  1.52

The calculation puts the total magnetization at 0.564 μB/atom. Its space group is No. 122. The formation enthalpy at 0 K comes out at 0.44 eV per atom. For the energy above the most stable polymorph in this dataset, the calculation gives 0.000 eV/atom. The value obtained for the volume is 402.9 Å³ per cell.

No. 8
Density functional theory data (PBE) for crystalline LaGa3N at its relaxed geometry.

a b c (Å): 6.086 6.086 6.086
angles (deg): 90.00 90.00 90.00
Each line ends with the local moment (μB).
Atoms (fractional coordinates):
1 N 0.500 0.500 0.500  1.75
2 Ga 0.000 0.500 0.000  -0.10
3 Ga 0.000 0.000 0.500  -0.08
4 Ga 0.500 0.000 0.000  -0.12
5 La 0.000 0.000 0.000  -0.23

As for the uncorrected formation energy: 1715.8 meV per atom. The calculation puts the total magnetization at 0.224 μB/atom. Its space group is No. 221. For the energy above the most stable polymorph in this dataset, the calculation gives 1.506 eV/atom. The value obtained for the volume is 225.4 Å³ per cell.

No. 9
Density functional theory data (PBE) for crystalline Y3IBr at its relaxed geometry.

a b c (Å): 5.424 5.424 5.424
angles (deg): 90.00 90.00 90.00
Atoms (fractional coordinates):
1 I 0.500 0.500 0.500
2 Y 0.000 0.500 0.000
3 Y 0.000 0.000 0.500
4 Y 0.500 0.000 0.000
5 Br 0.000 0.000 0.000

As for the uncorrected formation energy: -16.2 meV per atom. The calculation puts the total magnetization at 0.000 μB/atom. Its space group is No. 221. For the energy above the most stable polymorph in this dataset, the calculation gives 0.000 eV/atom. The value obtained for the volume is 159.6 Å³ per cell.

No. 10
Density functional theory data (PBE) for crystalline Na2Tl4Rh at its relaxed geometry.

a b c (Å): 5.262 5.262 8.735
angles (deg): 107.53 107.53 90.00
Atoms (fractional coordinates):
1 Na 0.632 0.632 0.265
2 Na 0.368 0.368 0.735
3 Tl 0.825 0.825 0.649
4 Tl 0.175 0.175 0.351
5 Tl 0.000 0.500 0.000
6 Tl 0.500 0.000 0.000
7 Rh 0.000 0.000 0.000

The calculation puts the total magnetization at 0.000 μB/atom. Its space group is No. 139. The formation enthalpy at 0 K comes out at 0.03 eV per atom. The value obtained for the volume is 218.8 Å³ per cell.

No. 11
Density functional theory data (PBE) for crystalline CeTm2Hg4 at its relaxed geometry.

a b c (Å): 5.206 5.206 7.187
angles (deg): 90.00 90.00 90.00
Each line ends with the local moment (μB).
Atoms (fractional coordinates):
1 Tm 0.000 0.000 0.000  0.14
2 Tm 0.500 0.500 0.500  -0.01
3 Hg 0.500 0.000 0.270  0.00
4 Hg 0.000 0.500 0.730  0.00
5 Hg 0.500 0.000 0.730  0.00
6 Hg 0.000 0.500 0.270  0.00
7 Ce 0.500 0.500 0.000  0.72

The calculation puts the total magnetization at 0.149 μB/atom. Its space group is No. 123. The formation enthalpy at 0 K comes out at -0.26 eV per atom. The value obtained for the volume is 194.8 Å³ per cell.

No. 12
Density functional theory data (PBE) for crystalline Rb2TlAu2Br6 at its relaxed geometry.

a b c (Å): 8.112 8.511 8.285
angles (deg): 118.59 90.00 118.46
Atoms (fractional coordinates):
1 Rb 0.740 0.480 0.211
2 Rb 0.260 0.520 0.789
3 Tl 0.500 0.000 0.500
4 Au 0.942 0.884 0.789
5 Au 0.058 0.116 0.211
6 Br 0.743 0.486 0.639
7 Br 0.177 0.871 0.190
8 Br 0.305 0.129 0.810
9 Br 0.823 0.129 0.810
10 Br 0.695 0.871 0.190
11 Br 0.257 0.514 0.361

As for the uncorrected formation energy: -783.5 meV per atom. The calculation puts the total magnetization at 0.000 μB/atom. Its space group is No. 12. The value obtained for the volume is 421.8 Å³ per cell.

No. 13
Density functional theory data (PBE) for crystalline LiDy2Pd at its relaxed geometry.

a b c (Å): 4.114 4.114 8.069
angles (deg): 75.23 75.23 60.00
Atoms (fractional coordinates):
1 Li 0.502 0.502 0.493
2 Dy 0.064 0.064 0.808
3 Dy 0.269 0.269 0.194
4 Pd 0.665 0.665 0.004

The calculation puts the total magnetization at 0.000 μB/atom. Its space group is No. 160. The formation enthalpy at 0 K comes out at -0.24 eV per atom. The value obtained for the volume is 113.0 Å³ per cell.

No. 14
Density functional theory data (PBE) for crystalline LiTa2Al at its relaxed geometry.

a b c (Å): 4.567 4.567 4.567
angles (deg): 60.00 60.00 60.00
Each line ends with the local moment (μB).
Atoms (fractional coordinates):
1 Al 0.500 0.500 0.500  0.00
2 Li 0.750 0.750 0.750  0.00
3 Ta 0.000 0.000 0.000  0.18
4 Ta 0.250 0.250 0.250  0.09

The calculation puts the total magnetization at 0.100 μB/atom. Its space group is No. 216. The formation enthalpy at 0 K comes out at 0.31 eV per atom. For the energy above the most stable polymorph in this dataset, the calculation gives 0.279 eV/atom. The value obtained for the volume is 67.3 Å³ per cell.

No. 15
Density functional theory data (PBE) for crystalline Al3Ir4 at its relaxed geometry.

a b c (Å): 10.968 10.968 10.968
angles (deg): 163.97 163.97 22.75
Atoms (fractional coordinates):
1 Al 0.000 0.000 0.000
2 Al 0.713 0.713 0.000
3 Al 0.287 0.287 0.000
4 Ir 0.842 0.842 0.000
5 Ir 0.158 0.158 0.000
6 Ir 0.567 0.567 0.000
7 Ir 0.433 0.433 0.000

The calculation puts the total magnetization at 0.000 μB/atom. Its space group is No. 139. The formation enthalpy at 0 K comes out at -0.43 eV per atom. For the energy above the most stable polymorph in this dataset, the calculation gives 0.000 eV/atom. The value obtained for the volume is 100.6 Å³ per cell.

No. 16
Density functional theory data (PBE) for crystalline NdDyScTe3 at its relaxed geometry.

a b c (Å): 4.307 8.793 9.934
angles (deg): 104.52 90.00 90.00
Each line ends with the local moment (μB).
Atoms (fractional coordinates):
1 Nd 0.250 0.176 0.237  0.03
2 Nd 0.750 0.824 0.763  0.03
3 Dy 0.250 0.669 0.167  0.20
4 Dy 0.750 0.331 0.833  0.20
5 Sc 0.250 0.089 0.593  0.52
6 Sc 0.750 0.911 0.407  0.52
7 Te 0.750 0.903 0.114  0.00
8 Te 0.250 0.097 0.886  0.00
9 Te 0.250 0.737 0.501  -0.01
10 Te 0.750 0.263 0.499  -0.01
11 Te 0.750 0.418 0.160  0.00
12 Te 0.250 0.582 0.840  0.00

As for the uncorrected formation energy: -1206.1 meV per atom. The calculation puts the total magnetization at 0.189 μB/atom. Its space group is No. 11. The value obtained for the volume is 364.2 Å³ per cell.

No. 17
Density functional theory data (PBE) for crystalline ScCd5Hg6 at its relaxed geometry.

a b c (Å): 4.610 8.532 7.373
angles (deg): 90.00 71.78 90.00
Atoms (fractional coordinates):
1 Sc 0.000 0.000 0.000
2 Hg 0.837 0.753 0.326
3 Hg 0.837 0.247 0.326
4 Hg 0.500 0.248 0.000
5 Hg 0.500 0.752 0.000
6 Hg 0.163 0.753 0.674
7 Hg 0.163 0.247 0.674
8 Cd 0.672 0.500 0.656
9 Cd 0.333 0.000 0.333
10 Cd 0.000 0.500 0.000
11 Cd 0.667 0.000 0.667
12 Cd 0.328 0.500 0.344

The calculation puts the total magnetization at 0.000 μB/atom. Its space group is No. 65. The formation enthalpy at 0 K comes out at -0.06 eV per atom. The value obtained for the volume is 275.5 Å³ per cell.

No. 18
Density functional theory data (PBE) for crystalline PmGe2PtRh2 at its relaxed geometry.

a b c (Å): 4.671 4.671 5.606
angles (deg): 90.00 90.00 90.00
Atoms (fractional coordinates):
1 Pm 0.000 0.000 0.500
2 Ge 0.500 0.000 0.000
3 Ge 0.000 0.500 0.000
4 Pt 0.000 0.000 0.000
5 Rh 0.500 0.500 0.745
6 Rh 0.500 0.500 0.255

The calculation puts the total magnetization at 0.000 μB/atom. Its space group is No. 123. The formation enthalpy at 0 K comes out at -0.22 eV per atom. The value obtained for the volume is 122.3 Å³ per cell.

No. 19
Density functional theory data (PBE) for crystalline RbMg16Al12 at its relaxed geometry.

a b c (Å): 9.249 9.249 9.249
angles (deg): 109.54 109.54 109.54
Atoms (fractional coordinates):
1 Rb 0.627 0.627 0.627
2 Mg 0.004 0.349 0.004
3 Mg 0.381 0.711 0.381
4 Mg 0.687 0.287 0.687
5 Mg 0.604 0.999 0.317
6 Mg 0.317 0.604 0.999
7 Mg 0.711 0.381 0.381
8 Mg 0.349 0.004 0.004
9 Mg 0.999 0.317 0.604
10 Mg 0.687 0.687 0.287
11 Mg 0.287 0.687 0.687
12 Mg 0.604 0.317 0.999
13 Mg 0.004 0.004 0.349
14 Mg 0.381 0.381 0.711
15 Mg 0.999 0.604 0.317
16 Mg 0.317 0.999 0.604
17 Mg 0.004 0.004 0.004
18 Al 0.362 0.176 0.362
19 Al 0.822 0.012 0.640
20 Al 0.362 0.362 0.176
21 Al 0.012 0.640 0.822
22 Al 0.186 0.186 0.822
23 Al 0.012 0.822 0.640
24 Al 0.640 0.822 0.012
25 Al 0.822 0.186 0.186
26 Al 0.822 0.640 0.012
27 Al 0.176 0.362 0.362
28 Al 0.640 0.012 0.822
29 Al 0.186 0.822 0.186

The calculation puts the total magnetization at 0.000 μB/atom. Its space group is No. 160. The formation enthalpy at 0 K comes out at 0.02 eV per atom. The value obtained for the volume is 607.6 Å³ per cell.

No. 20
Density functional theory data (PBE) for crystalline YIrNF2 at its relaxed geometry.

a b c (Å): 4.576 4.576 3.703
angles (deg): 90.00 90.00 90.00
Each line ends with the local moment (μB).
Atoms (fractional coordinates):
1 Y 0.500 0.500 0.500  0.20
2 N 0.000 0.000 0.500  0.00
3 Ir 0.000 0.000 0.000  0.00
4 F 0.000 0.500 0.000  0.01
5 F 0.500 0.000 0.000  0.01

As for the uncorrected formation energy: -838.3 meV per atom. The calculation puts the total magnetization at 0.071 μB/atom. Its space group is No. 123. For the energy above the most stable polymorph in this dataset, the calculation gives 0.000 eV/atom. The value obtained for the volume is 77.5 Å³ per cell.